(1)
DFT (PBE-GGA) results for a geometry-optimized Cs3ErAg2F9 structure.

E_form (uncorrected), eV per atom: -2.6158
Crystal system: trigonal
Space group: No. 164
DOS(E_F), states/eV per atom: 0.194

Cell and atoms, written as CIF:
```
data_Cs3ErAg2F9
_cell_length_a 6.490
_cell_length_b 6.490
_cell_length_c 8.033
_cell_angle_alpha 90.00
_cell_angle_beta 90.00
_cell_angle_gamma 120.00
_symmetry_space_group_name_H-M 'P 1'
_symmetry_Int_Tables_number 1
_symmetry_space_group_name_Hall 'P 1'
loop_
_atom_site_label
_atom_site_type_symbol
_atom_site_fract_x
_atom_site_fract_y
_atom_site_fract_z
Cs1 Cs 0.000 0.000 0.000
Cs2 Cs 0.333 0.667 0.689
Cs3 Cs 0.667 0.333 0.311
Er1 Er 0.000 0.000 0.500
Ag1 Ag 0.333 0.667 0.165
Ag2 Ag 0.667 0.333 0.835
F1 F 0.000 0.500 0.000
F2 F 0.158 0.315 0.345
F3 F 0.158 0.842 0.345
F4 F 0.315 0.158 0.655
F5 F 0.500 0.000 0.000
F6 F 0.500 0.500 0.000
F7 F 0.685 0.842 0.345
F8 F 0.842 0.158 0.655
F9 F 0.842 0.685 0.655
```

---

(2)
DFT (PBE-GGA) results for a geometry-optimized Cs2ErAgF6 structure.

E_form (uncorrected), eV per atom: -2.9965
Crystal system: orthorhombic
Space group: No. 59
DOS(E_F), states/eV per atom: 0.000

Cell and atoms, written as CIF:
```
data_Cs2ErAgF6
_cell_length_a 6.598
_cell_length_b 9.349
_cell_length_c 6.604
_cell_angle_alpha 90.00
_cell_angle_beta 90.00
_cell_angle_gamma 90.00
_symmetry_space_group_name_H-M 'P 1'
_symmetry_Int_Tables_number 1
_symmetry_space_group_name_Hall 'P 1'
loop_
_atom_site_label
_atom_site_type_symbol
_atom_site_fract_x
_atom_site_fract_y
_atom_site_fract_z
Cs1 Cs 0.250 0.000 0.250
Cs2 Cs 0.250 0.500 0.250
Cs3 Cs 0.750 0.000 0.750
Cs4 Cs 0.750 0.500 0.750
Er1 Er 0.250 0.250 0.750
Er2 Er 0.750 0.750 0.250
Ag1 Ag 0.250 0.750 0.750
Ag2 Ag 0.750 0.250 0.250
F1 F 0.018 0.250 0.518
F2 F 0.018 0.250 0.981
F3 F 0.250 0.019 0.749
F4 F 0.250 0.481 0.749
F5 F 0.482 0.250 0.518
F6 F 0.482 0.250 0.981
F7 F 0.518 0.750 0.019
F8 F 0.518 0.750 0.482
F9 F 0.750 0.519 0.251
F10 F 0.750 0.981 0.251
F11 F 0.982 0.750 0.019
F12 F 0.982 0.750 0.482
```

---

(3)
DFT (PBE-GGA) results for a geometry-optimized Cs3ErAg2I9 structure.

E_form (uncorrected), eV per atom: -1.0336
Crystal system: trigonal
Space group: No. 164
DOS(E_F), states/eV per atom: 0.410

Cell and atoms, written as CIF:
```
data_Cs3ErAg2I9
_cell_length_a 8.463
_cell_length_b 8.463
_cell_length_c 10.535
_cell_angle_alpha 90.00
_cell_angle_beta 90.00
_cell_angle_gamma 120.00
_symmetry_space_group_name_H-M 'P 1'
_symmetry_Int_Tables_number 1
_symmetry_space_group_name_Hall 'P 1'
loop_
_atom_site_label
_atom_site_type_symbol
_atom_site_fract_x
_atom_site_fract_y
_atom_site_fract_z
Cs1 Cs 0.000 0.000 0.000
Cs2 Cs 0.333 0.667 0.675
Cs3 Cs 0.667 0.333 0.325
Er1 Er 0.000 0.000 0.500
Ag1 Ag 0.333 0.667 0.152
Ag2 Ag 0.667 0.333 0.848
I1 I 0.000 0.500 0.000
I2 I 0.167 0.335 0.335
I3 I 0.167 0.833 0.335
I4 I 0.335 0.167 0.665
I5 I 0.500 0.000 0.000
I6 I 0.500 0.500 0.000
I7 I 0.665 0.833 0.335
I8 I 0.833 0.167 0.665
I9 I 0.833 0.665 0.665
```

---

(4)
DFT (PBE-GGA) results for a geometry-optimized CsEr2AgI8 structure.

E_form (uncorrected), eV per atom: -1.1073
Crystal system: trigonal
Space group: No. 148
DOS(E_F), states/eV per atom: 0.000

Cell and atoms, written as CIF:
```
data_CsEr2AgI8
_cell_length_a 11.909
_cell_length_b 11.909
_cell_length_c 11.909
_cell_angle_alpha 38.35
_cell_angle_beta 38.35
_cell_angle_gamma 38.35
_symmetry_space_group_name_H-M 'P 1'
_symmetry_Int_Tables_number 1
_symmetry_space_group_name_Hall 'P 1'
loop_
_atom_site_label
_atom_site_type_symbol
_atom_site_fract_x
_atom_site_fract_y
_atom_site_fract_z
Cs1 Cs 0.000 0.000 0.000
Er1 Er 0.242 0.242 0.242
Er2 Er 0.758 0.758 0.758
Ag1 Ag 0.500 0.500 0.500
I1 I 0.135 0.423 0.777
I2 I 0.223 0.865 0.577
I3 I 0.328 0.328 0.328
I4 I 0.423 0.777 0.135
I5 I 0.577 0.223 0.865
I6 I 0.672 0.672 0.672
I7 I 0.777 0.135 0.423
I8 I 0.865 0.577 0.223
```

---

(5)
DFT (PBE-GGA) results for a geometry-optimized Cs2ErAgI6 structure.

E_form (uncorrected), eV per atom: -1.2182
Crystal system: orthorhombic
Space group: No. 59
DOS(E_F), states/eV per atom: 0.000

Cell and atoms, written as CIF:
```
data_Cs2ErAgI6
_cell_length_a 8.562
_cell_length_b 12.192
_cell_length_c 8.562
_cell_angle_alpha 90.00
_cell_angle_beta 90.00
_cell_angle_gamma 90.00
_symmetry_space_group_name_H-M 'P 1'
_symmetry_Int_Tables_number 1
_symmetry_space_group_name_Hall 'P 1'
loop_
_atom_site_label
_atom_site_type_symbol
_atom_site_fract_x
_atom_site_fract_y
_atom_site_fract_z
Cs1 Cs 0.250 0.001 0.250
Cs2 Cs 0.250 0.499 0.250
Cs3 Cs 0.750 0.501 0.750
Cs4 Cs 0.750 0.999 0.750
Er1 Er 0.250 0.250 0.749
Er2 Er 0.750 0.750 0.251
Ag1 Ag 0.250 0.750 0.751
Ag2 Ag 0.750 0.250 0.249
I1 I 0.001 0.250 0.501
I2 I 0.001 0.250 0.998
I3 I 0.250 0.003 0.749
I4 I 0.250 0.497 0.749
I5 I 0.499 0.250 0.501
I6 I 0.499 0.250 0.998
I7 I 0.501 0.750 0.002
I8 I 0.501 0.750 0.499
I9 I 0.750 0.503 0.251
I10 I 0.750 0.997 0.251
I11 I 0.999 0.750 0.002
I12 I 0.999 0.750 0.499
```

---

(6)
DFT (PBE-GGA) results for a geometry-optimized CsErAgI6 structure.

E_form (uncorrected), eV per atom: -0.9739
Crystal system: triclinic
Space group: No. 1
DOS(E_F), states/eV per atom: 0.640

Cell and atoms, written as CIF:
```
data_CsErAgI6
_cell_length_a 7.553
_cell_length_b 7.689
_cell_length_c 8.285
_cell_angle_alpha 93.61
_cell_angle_beta 97.96
_cell_angle_gamma 110.43
_symmetry_space_group_name_H-M 'P 1'
_symmetry_Int_Tables_number 1
_symmetry_space_group_name_Hall 'P 1'
loop_
_atom_site_label
_atom_site_type_symbol
_atom_site_fract_x
_atom_site_fract_y
_atom_site_fract_z
Cs1 Cs 0.000 0.000 0.000
Er1 Er 0.410 0.640 0.509
Ag1 Ag 0.794 0.334 0.447
I1 I 0.067 0.584 0.250
I2 I 0.125 0.313 0.638
I3 I 0.426 0.919 0.770
I4 I 0.486 0.383 0.245
I5 I 0.658 0.939 0.328
I6 I 0.707 0.535 0.718
```

---

(7)
DFT (PBE-GGA) results for a geometry-optimized Cs3ErAg2I8 structure.

E_form (uncorrected), eV per atom: -1.0948
Crystal system: trigonal
Space group: No. 164
DOS(E_F), states/eV per atom: 0.000

Cell and atoms, written as CIF:
```
data_Cs3ErAg2I8
_cell_length_a 8.543
_cell_length_b 8.543
_cell_length_c 11.040
_cell_angle_alpha 90.00
_cell_angle_beta 90.00
_cell_angle_gamma 120.00
_symmetry_space_group_name_H-M 'P 1'
_symmetry_Int_Tables_number 1
_symmetry_space_group_name_Hall 'P 1'
loop_
_atom_site_label
_atom_site_type_symbol
_atom_site_fract_x
_atom_site_fract_y
_atom_site_fract_z
Cs1 Cs 0.000 0.000 0.000
Cs2 Cs 0.333 0.667 0.624
Cs3 Cs 0.667 0.333 0.376
Er1 Er 0.000 0.000 0.500
Ag1 Ag 0.333 0.667 0.200
Ag2 Ag 0.667 0.333 0.800
I1 I 0.162 0.325 0.336
I2 I 0.162 0.838 0.336
I3 I 0.325 0.162 0.664
I4 I 0.333 0.667 0.957
I5 I 0.667 0.333 0.043
I6 I 0.675 0.838 0.336
I7 I 0.838 0.162 0.664
I8 I 0.838 0.675 0.664
```

---

(8)
DFT (PBE-GGA) results for a geometry-optimized Cs2ErAg2I6 structure.

E_form (uncorrected), eV per atom: -0.9527
Crystal system: trigonal
Space group: No. 166
DOS(E_F), states/eV per atom: 0.362

Cell and atoms, written as CIF:
```
data_Cs2ErAg2I6
_cell_length_a 9.120
_cell_length_b 9.120
_cell_length_c 9.120
_cell_angle_alpha 59.82
_cell_angle_beta 59.82
_cell_angle_gamma 59.82
_symmetry_space_group_name_H-M 'P 1'
_symmetry_Int_Tables_number 1
_symmetry_space_group_name_Hall 'P 1'
loop_
_atom_site_label
_atom_site_type_symbol
_atom_site_fract_x
_atom_site_fract_y
_atom_site_fract_z
Cs1 Cs 0.231 0.231 0.231
Cs2 Cs 0.769 0.769 0.769
Er1 Er 0.000 0.000 0.000
Ag1 Ag 0.439 0.439 0.439
Ag2 Ag 0.561 0.561 0.561
I1 I 0.223 0.765 0.765
I2 I 0.235 0.235 0.777
I3 I 0.235 0.777 0.235
I4 I 0.765 0.223 0.765
I5 I 0.765 0.765 0.223
I6 I 0.777 0.235 0.235
```

---

(9)
DFT (PBE-GGA) results for a geometry-optimized CsErAgI5 structure.

E_form (uncorrected), eV per atom: -1.1327
Crystal system: monoclinic
Space group: No. 15
DOS(E_F), states/eV per atom: 0.000

Cell and atoms, written as CIF:
```
data_CsErAgI5
_cell_length_a 8.594
_cell_length_b 8.594
_cell_length_c 11.513
_cell_angle_alpha 102.57
_cell_angle_beta 102.57
_cell_angle_gamma 106.77
_symmetry_space_group_name_H-M 'P 1'
_symmetry_Int_Tables_number 1
_symmetry_space_group_name_Hall 'P 1'
loop_
_atom_site_label
_atom_site_type_symbol
_atom_site_fract_x
_atom_site_fract_y
_atom_site_fract_z
Cs1 Cs 0.150 0.850 0.750
Cs2 Cs 0.850 0.150 0.250
Er1 Er 0.500 0.500 0.000
Er2 Er 0.500 0.500 0.500
Ag1 Ag 0.190 0.810 0.250
Ag2 Ag 0.810 0.190 0.750
I1 I 0.133 0.272 0.939
I2 I 0.195 0.595 0.407
I3 I 0.272 0.133 0.439
I4 I 0.405 0.805 0.093
I5 I 0.432 0.568 0.750
I6 I 0.568 0.432 0.250
I7 I 0.595 0.195 0.907
I8 I 0.728 0.867 0.561
I9 I 0.805 0.405 0.593
I10 I 0.867 0.728 0.061
```